A relaxed Ho4ScZn5 crystal, computed with PBE.

a b c (Å): 3.5121 3.5121 17.5899
angles (deg): 90.00 90.00 90.00
Space group P4/mmm (No. 123)
One atom of each set of equivalent atoms:
Ho1 0.0000 0.0000 0.1023 x2
Ho2 0.0000 0.0000 0.3060 x2
Sc1 0.0000 0.0000 0.5000 x1
Zn1 0.5000 0.5000 0.0000 x1
Zn2 0.5000 0.5000 0.2041 x2
Zn3 0.5000 0.5000 0.4119 x2

Calculated values
For the formation energy, the calculation gives -0.343 eV/atom. Its volume is 217 Å³ per cell. For the density of states at the Fermi level, the calculation gives 1.153 states/eV per atom.